This record from Alexandria describes ZrTl2Br after structural relaxation. The functional is PBE. Values from VASP.

Summary:
D(E_F) (states/eV/cell): 2.644
Energy relative to the lowest polymorph listed for this composition (meV/atom): 84.9
VASP energy (eV/f.u.): -16.2
Crystal system: tetragonal
Density (Mg/m³): 8.70
Uncorrected formation energy (meV per atom): -312

```
&SYSTEM
  ibrav = 0, nat = 4, ntyp = 3
/
ATOMIC_SPECIES
Tl 204.38 Tl.upf
Zr 91.22 Zr.upf
Br 79.90 Br.upf
CELL_PARAMETERS angstrom
-2.464 0.809 2.142
-1.059 -3.193 -0.013
5.904 -1.991 7.542
ATOMIC_POSITIONS angstrom
Tl 0.197 -0.067 0.252
Zr 2.971 -1.002 3.795
Tl -0.061 -1.766 3.238
Br 2.224 -2.536 6.157
```